Entry 1:
The following is a DFT calculation (PBE) of TlRh3O after structural relaxation.

a = 4.2117 Å, b = 4.2117 Å, c = 4.2117 Å
α = 90.00°, β = 90.00°, γ = 90.00°
With the nearest neighbours (Å) after each atom.
Sites, in units of the cell vectors:
Rh 0.0000 0.5000 0.0000  2 O 2.11
O 0.0000 0.0000 0.0000  6 Rh 2.11
Rh 0.0000 0.0000 0.5000  2 O 2.11
Tl 0.5000 0.5000 0.5000  12 Rh 2.98
Rh 0.5000 0.0000 0.0000  2 O 2.11

Its energy above the most stable polymorph in this dataset is 0.0000 eV/atom. Its space group is Pm-3m (221). For the formation energy (no corrections), the calculation gives 15 kJ per mole of atoms. The value obtained for the theoretical density is 11.8 g cm⁻³. The calculation puts the total magnetic moment at 0.000 μB/atom.

Entry 2:
The following is a DFT calculation (PBE) of TlRhO2 after structural relaxation.

a = 6.3002 Å, b = 3.2453 Å, c = 11.3136 Å
α = 90.00°, β = 90.00°, γ = 90.00°
With the nearest neighbours (Å) after each atom.
Sites, in units of the cell vectors:
Tl 0.4426 0.2500 0.3720  7 O 2.65-2.96
O 0.3401 0.2500 0.0237  3 Rh 2.07-2.10
Tl 0.0574 0.7500 0.8720  7 O 2.65-2.96
O 0.8401 0.2500 0.4763  3 Rh 2.07-2.10
Rh 0.9585 0.7500 0.3791  5 O 2.07-2.18
Tl 0.5574 0.7500 0.6280  7 O 2.65-2.96
O 0.2033 0.7500 0.2431  2 Rh 2.12-2.18
Tl 0.9426 0.2500 0.1280  7 O 2.65-2.96
O 0.6599 0.7500 0.9763  3 Rh 2.07-2.10
O 0.2967 0.2500 0.7431  2 Rh 2.12-2.18
O 0.7967 0.2500 0.7569  2 Rh 2.12-2.18
Rh 0.0415 0.2500 0.6209  5 O 2.07-2.18
Rh 0.5415 0.2500 0.8791  5 O 2.07-2.18
O 0.1599 0.7500 0.5237  3 Rh 2.07-2.10
Rh 0.4585 0.7500 0.1209  5 O 2.07-2.18
O 0.7033 0.7500 0.2569  2 Rh 2.12-2.18

Its space group is Pnma (62). For the formation energy (no corrections), the calculation gives -33 kJ per mole of atoms. The value obtained for the theoretical density is 9.7 g cm⁻³. The calculation puts the total magnetic moment at 0.000 μB/atom.

Entry 3:
The following is a DFT calculation (PBE) of Tl2RhO4 after structural relaxation.

a = 6.3355 Å, b = 6.7595 Å, c = 6.7595 Å
α = 63.93°, β = 62.05°, γ = 62.05°
With the nearest neighbours (Å) after each atom.
Sites, in units of the cell vectors:
O 0.2282 0.2876 0.7876  1 Rh 2.03
O 0.7425 0.3241 0.1910  2 Rh 2.06
Tl 0.5000 0.0000 0.0000  6 O 2.35-2.37
O 0.2575 0.3090 0.1759  2 Rh 2.06
Tl 0.1324 0.1176 0.6176  4 O 2.34-2.56
O 0.3034 0.7124 0.2124  1 Rh 2.03
Rh 0.5000 0.5000 0.0000  6 O 2.03-2.06
Rh 0.0000 0.5000 0.0000  6 O 2.03-2.06
O 0.7425 0.6910 0.8241  2 Rh 2.06
O 0.7718 0.7124 0.2124  1 Rh 2.03
O 0.2575 0.6759 0.8090  2 Rh 2.06
Tl 0.5000 0.5000 0.5000  6 O 2.35-2.37
Tl 0.8676 0.8824 0.3824  4 O 2.34-2.56
O 0.6966 0.2876 0.7876  1 Rh 2.03

Its energy above the most stable polymorph in this dataset is 0.0000 eV/atom. Its space group is Imma (74). For the formation energy (no corrections), the calculation gives -68 kJ per mole of atoms. The value obtained for the theoretical density is 8.8 g cm⁻³. The calculation puts the total magnetic moment at 0.000 μB/atom.

Entry 4:
The following is a DFT calculation (PBE) of TlRhO2 after structural relaxation.

a = 7.7172 Å, b = 7.7172 Å, c = 7.7172 Å
α = 25.17°, β = 25.17°, γ = 25.17°
With the nearest neighbours (Å) after each atom.
Sites, in units of the cell vectors:
O 0.0960 0.0960 0.0960  1 Rh 1.94
Tl 0.4961 0.4961 0.4961  3 O 2.45
O 0.6495 0.6495 0.6495  3 Rh 2.03
Rh 0.0094 0.0094 0.0094  4 O 1.94-2.03

Its space group is R3m (160). For the formation energy (no corrections), the calculation gives -29 kJ per mole of atoms. The value obtained for the theoretical density is 7.7 g cm⁻³. The calculation puts the total magnetic moment at 0.000 μB/atom.